Entry 1:
Material: Sm4Th2Sn3N2
Method: DFT, GGA-PBE
State: relaxed

extended XYZ file:
```
11
Lattice="-2.4028 2.4028 12.9639 2.4028 -2.4028 12.9639 2.4028 2.4028 -12.9639" Properties=species:S:1:pos:R:3 pbc="T T T"
Sm 2.4028 0.0000 2.1100
Sm 2.4028 0.0000 10.8539
Sm 0.0000 2.4028 2.1100
Sm 0.0000 2.4028 10.8539
Th 0.0000 0.0000 4.9572
Th 0.0000 0.0000 20.9707
Sn 0.0000 0.0000 8.3588
Sn 0.0000 0.0000 12.9639
Sn 0.0000 0.0000 17.5691
N 0.0000 0.0000 2.7349
N 0.0000 0.0000 23.1930
```

Values from the calculation:
E_form (uncorrected) in eV/atom: -0.94
Total magnetic moment in μB per cell: 0.00
Calculated density in g/cm³: 8.04

***

Entry 2:
Material: Ac3Ga7Ni2
Method: DFT, GGA-PBE
State: relaxed

extended XYZ file:
```
12
Lattice="4.5003 0.0000 0.0000 0.0000 4.5319 0.0000 -2.2136 0.0000 13.2317" Properties=species:S:1:pos:R:3 pbc="T T T"
Ac 0.0000 0.0000 0.0000
Ac 0.0123 2.2660 8.4420
Ac 2.2743 2.2660 4.7897
Ga 0.0221 2.2660 2.3432
Ga 0.0210 0.0000 5.8524
Ga 0.0293 0.0000 10.8806
Ga 2.2501 2.2660 0.0000
Ga 2.2574 0.0000 2.3511
Ga 2.2657 0.0000 7.3793
Ga 2.2645 2.2660 10.8885
Ni 0.0097 0.0000 3.3821
Ni 2.2769 0.0000 9.8496
```

Values from the calculation:
ΔE_f in eV/atom: -0.49
Total magnetic moment in μB per cell: 0.00
Calculated density in g/cm³: 7.92

***

Entry 3:
Material: Dy2ThTe
Method: DFT, GGA-PBE
State: relaxed

extended XYZ file:
```
4
Lattice="1.8713 1.0804 10.9230 -1.8713 1.0804 10.9230 0.0000 -2.1608 10.9230" Properties=species:S:1:pos:R:3 pbc="T T T"
Dy 0.0000 0.0000 3.3547
Dy 0.0000 0.0000 29.4142
Th 0.0000 0.0000 0.0000
Te 0.0000 0.0000 16.3844
```

Values from the calculation:
E_form (uncorrected) in eV/atom: -0.17
Total magnetic moment in μB per cell: 0.00
Calculated density in g/cm³: 8.58

***

Entry 4:
Material: TlInPb4
Method: DFT, GGA-PBE
State: relaxed

extended XYZ file:
```
6
Lattice="4.5926 -2.6429 0.0000 4.5926 2.6429 0.0000 -3.1764 0.0000 8.5349" Properties=species:S:1:pos:R:3 pbc="T T T"
Tl 0.0000 0.0000 0.0000
In 3.0044 0.0000 4.2675
Pb -0.0500 0.0000 3.2352
Pb 3.0512 0.0000 1.0820
Pb 2.9576 0.0000 7.4529
Pb 6.0587 0.0000 5.2997
```

Values from the calculation:
ΔE_f in eV/atom: 0.11
Total magnetic moment in μB per cell: 0.00
Calculated density in g/cm³: 9.20

***

Entry 5:
Material: AcMg2Al2Zn
Method: DFT, GGA-PBE
State: relaxed

extended XYZ file:
```
6
Lattice="-2.2560 2.2560 8.1486 2.2560 -2.2560 8.1486 2.2560 2.2560 -8.1486" Properties=species:S:1:pos:R:3 pbc="T T T"
Ac 0.0000 0.0000 0.0000
Mg 2.2560 0.0000 4.0743
Mg 0.0000 2.2560 4.0743
Al 0.0000 0.0000 5.8068
Al 0.0000 0.0000 10.4903
Zn 0.0000 0.0000 8.1486
```

Values from the calculation:
ΔE_f in eV/atom: 0.11
Total magnetic moment in μB per cell: 0.00
Calculated density in g/cm³: 3.95

***

Entry 6:
Material: Pr3DyAu7
Method: DFT, GGA-PBE
State: relaxed

extended XYZ file:
```
22
Lattice="1.9230 -10.8777 0.0000 1.9230 10.8777 0.0000 0.0000 0.0000 13.2428" Properties=species:S:1:pos:R:3 pbc="T T T"
Pr 1.9230 7.9453 7.2899
Pr 1.9230 7.9453 12.5743
Pr 1.9230 6.4540 3.3107
Pr 1.9230 -6.4540 9.9321
Pr 1.9230 -7.9453 0.6685
Pr 1.9230 -7.9453 5.9529
Dy 1.9230 10.7545 3.3107
Dy 1.9230 -10.7545 9.9321
Au 1.9230 4.8701 7.5169
Au 1.9230 4.8701 12.3473
Au 1.9230 2.6216 3.3107
Au 1.9230 2.2006 8.4908
Au 1.9230 2.2006 11.3734
Au 1.9230 0.5991 1.1940
Au 1.9230 0.5991 5.4274
Au 1.9230 -0.5991 7.8154
Au 1.9230 -0.5991 12.0488
Au 1.9230 -2.2006 1.8694
Au 1.9230 -2.2006 4.7520
Au 1.9230 -2.6216 9.9321
Au 1.9230 -4.8701 0.8955
Au 1.9230 -4.8701 5.7259
```

Values from the calculation:
ΔE_f in eV/atom: -0.70
Total magnetic moment in μB per cell: 0.00
Calculated density in g/cm³: 11.77